Entry 1:
{"formula": "NdNbSn", "functional": "PBE-GGA", "state": "optimized geometry", "cell": [[0.0000, 3.6080, 3.6080], [3.6080, 0.0000, 3.6080], [3.6080, 3.6080, 0.0000]], "species": ["Nd", "Nb", "Sn"], "fractional_positions": [[0.0000, 0.0000, 0.0000], [0.2500, 0.2500, 0.2500], [0.7500, 0.7500, 0.7500]], "final_energy_ev_per_atom": -5.457, "m_tot_mub_per_atom": 1.231}

=====

Entry 2:
{"formula": "ZnPIrO", "functional": "PBE-GGA", "state": "optimized geometry", "cell": [[-1.2084, -2.9069, -1.5066], [3.5565, -3.2982, 3.5112], [-3.9597, -0.2910, 3.7374]], "species": ["Zn", "Zn", "P", "P", "Ir", "Ir", "O", "O"], "fractional_positions": [[0.5000, 0.0672, 0.3878], [0.5000, 0.9328, 0.8878], [0.5000, 0.6769, 0.3742], [0.5000, 0.3231, 0.8742], [0.0000, 0.5032, 0.6193], [0.0000, 0.4968, 0.1193], [0.0000, 0.2340, 0.3728], [0.0000, 0.7660, 0.8728]], "e_above_lowest_polymorph_mev_per_atom": 289.7, "m_tot_mub_per_atom": 0.000}

=====

Entry 3:
{"formula": "HfOF2", "functional": "PBE-GGA", "state": "optimized geometry", "cell": [[12.2909, 0.0000, 0.0000], [0.0000, 14.0138, 0.0000], [0.0000, 0.0000, 3.3573]], "species": ["O", "O", "O", "O", "O", "O", "O", "O", "O", "O", "O", "O", "F", "F", "F", "F", "F", "F", "F", "F", "F", "F", "F", "F", "F", "F", "F", "F", "F", "F", "F", "F", "F", "F", "F", "F", "Hf", "Hf", "Hf", "Hf", "Hf", "Hf", "Hf", "Hf", "Hf", "Hf", "Hf", "Hf"], "fractional_positions": [[0.2292, 0.1458, 0.5000], [0.1855, 0.0308, 0.0000], [0.7624, 0.2371, 0.0000], [0.7376, 0.7370, 0.0000], [0.2708, 0.6458, 0.5000], [0.6855, 0.4692, 0.0000], [0.7708, 0.8542, 0.5000], [0.2624, 0.2629, 0.0000], [0.7292, 0.3542, 0.5000], [0.8145, 0.9692, 0.0000], [0.3145, 0.5308, 0.0000], [0.2376, 0.7630, 0.0000], [0.6781, 0.6105, 0.5000], [0.4660, 0.6103, 0.5000], [0.5399, 0.7316, 0.0000], [0.3679, 0.9520, 0.0000], [0.6321, 0.0480, 0.0000], [0.8219, 0.1105, 0.5000], [0.3219, 0.3895, 0.5000], [0.9601, 0.2316, 0.0000], [0.5340, 0.3897, 0.5000], [0.4160, 0.1055, 0.5000], [0.5840, 0.8945, 0.5000], [0.0980, 0.2746, 0.5000], [0.9020, 0.7254, 0.5000], [0.8679, 0.5480, 0.0000], [0.0840, 0.6055, 0.5000], [0.0399, 0.7684, 0.0000], [0.9160, 0.3945, 0.5000], [0.9660, 0.8897, 0.5000], [0.0340, 0.1103, 0.5000], [0.4601, 0.2684, 0.0000], [0.4020, 0.7746, 0.5000], [0.1781, 0.8895, 0.5000], [0.5980, 0.2254, 0.5000], [0.1321, 0.4520, 0.0000], [0.1245, 0.1723, 0.0000], [0.6245, 0.3277, 0.0000], [0.8755, 0.8277, 0.0000], [0.3494, 0.2453, 0.5000], [0.2776, 0.0063, 0.5000], [0.1506, 0.7453, 0.5000], [0.7224, 0.9937, 0.5000], [0.8494, 0.2547, 0.5000], [0.3755, 0.6723, 0.0000], [0.6506, 0.7547, 0.5000], [0.2224, 0.5063, 0.5000], [0.7776, 0.4937, 0.5000]], "final_energy_ev_per_atom": -8.222, "m_tot_mub_per_atom": 0.000}

=====

Entry 4:
{"formula": "KUPd", "functional": "PBE-GGA", "state": "optimized geometry", "cell": [[0.0000, 3.5763, 3.5763], [3.5763, 0.0000, 3.5763], [3.5763, 3.5763, 0.0000]], "species": ["U", "K", "Pd"], "fractional_positions": [[0.0000, 0.0000, 0.0000], [0.5000, 0.5000, 0.5000], [0.2500, 0.2500, 0.2500]], "final_energy_ev_per_atom": -4.964, "m_tot_mub_per_atom": 1.004}

=====

Entry 5:
{"formula": "BeAg2Au", "functional": "PBE-GGA", "state": "optimized geometry", "cell": [[-0.6577, 1.5398, 4.1297], [-3.3070, -1.6471, 2.4918], [0.9293, -2.5785, 3.5137]], "species": ["Ag", "Ag", "Be", "Au"], "fractional_positions": [[0.0000, 0.0000, 0.0000], [0.7500, 0.7500, 0.7500], [0.5000, 0.5000, 0.5000], [0.2500, 0.2500, 0.2500]], "final_energy_ev_per_atom": -3.025}

=====

Entry 6:
{"formula": "CuAsPd2", "functional": "PBE-GGA", "state": "optimized geometry", "cell": [[0.0000, 3.1105, 3.1105], [3.1105, 0.0000, 3.1105], [3.1105, 3.1105, 0.0000]], "species": ["Pd", "Pd", "As", "Cu"], "fractional_positions": [[0.7500, 0.7500, 0.7500], [0.0000, 0.0000, 0.0000], [0.5000, 0.5000, 0.5000], [0.2500, 0.2500, 0.2500]], "final_energy_ev_per_atom": -4.799}

=====

Entry 7:
{"formula": "HfNbPd", "functional": "PBE-GGA", "state": "optimized geometry", "cell": [[1.9476, -3.8829, 1.0210], [1.9828, -0.5276, 3.9626], [-1.8269, -2.6731, 3.0707]], "species": ["Nb", "Hf", "Pd"], "fractional_positions": [[0.7500, 0.7500, 0.7500], [0.2500, 0.2500, 0.2500], [0.0000, 0.0000, 0.0000]], "e_above_lowest_polymorph_mev_per_atom": 0.0, "m_tot_mub_per_atom": 0.001, "formation_energy_ev_per_atom": 0.185}

=====

Entry 8:
{"formula": "RbB4Ir", "functional": "PBE-GGA", "state": "optimized geometry", "cell": [[-3.5288, 2.2860, 3.4726], [-0.3089, 5.2776, -1.3374], [-0.9781, -5.2707, -1.0003]], "species": ["B", "B", "B", "B", "Ir", "Rb"], "fractional_positions": [[0.3582, 0.7161, 0.6421], [0.9261, 0.2839, 0.6421], [0.0739, 0.7161, 0.3579], [0.6418, 0.2839, 0.3579], [0.0000, 0.0000, 0.0000], [0.5000, 0.5000, 0.0000]], "e_above_lowest_polymorph_mev_per_atom": 365.4, "m_tot_mub_per_atom": 0.003}

=====

Entry 9:
{"formula": "Cs2PdAuO4", "functional": "PBE-GGA", "state": "optimized geometry", "cell": [[6.0668, 0.0000, 0.0000], [0.0000, 2.5891, 6.0854], [0.0000, -2.5891, 6.0854]], "species": ["Pd", "O", "O", "O", "O", "Cs", "Cs", "Au"], "fractional_positions": [[0.5000, 0.4973, 0.4973], [0.7444, 0.6080, 0.6080], [0.7540, 0.3921, 0.3921], [0.2460, 0.3921, 0.3921], [0.2556, 0.6080, 0.6080], [0.0000, 0.8132, 0.8132], [0.5000, 0.1863, 0.1863], [0.0000, 0.5029, 0.5029]], "final_energy_ev_per_atom": -4.551}

=====

Entry 10:
{"formula": "ScBeAlNi", "functional": "PBE-GGA", "state": "optimized geometry", "cell": [[-1.5464, 1.2631, 3.7524], [-2.5775, 3.3734, 0.2099], [-4.1236, -0.5277, 0.8858]], "species": ["Ni", "Sc", "Al", "Be"], "fractional_positions": [[0.5000, 0.5000, 0.5000], [0.7500, 0.7500, 0.7500], [0.2500, 0.2500, 0.2500], [0.0000, 0.0000, 0.0000]], "e_above_lowest_polymorph_mev_per_atom": 0.0, "m_tot_mub_per_atom": 0.000}

=====

Entry 11:
{"formula": "CsMgCoTe", "functional": "PBE-GGA", "state": "optimized geometry", "cell": [[0.0000, 3.9443, 3.9443], [3.9443, 0.0000, 3.9443], [3.9443, 3.9443, 0.0000]], "species": ["Co", "Te", "Mg", "Cs"], "fractional_positions": [[0.0000, 0.0000, 0.0000], [0.5000, 0.5000, 0.5000], [0.7500, 0.7500, 0.7500], [0.2500, 0.2500, 0.2500]], "e_above_lowest_polymorph_mev_per_atom": 0.0, "m_tot_mub_per_atom": 0.503}

=====

Entry 12:
{"formula": "PrSm2Zn2Si4Au2", "functional": "PBE-GGA", "state": "optimized geometry", "cell": [[6.7091, -5.1572, 9.7863], [2.3723, -9.1247, 8.8596], [-2.7661, 5.7423, -11.2585]], "species": ["Si", "Si", "Si", "Si", "Sm", "Sm", "Au", "Au", "Zn", "Zn", "Pr"], "fractional_positions": [[0.1927, 0.6927, 0.5000], [0.5473, 0.5473, 0.0000], [0.4527, 0.4527, 0.0000], [0.8073, 0.3073, 0.5000], [0.3527, 0.8527, 0.5000], [0.6473, 0.1473, 0.5000], [0.0963, 0.5963, 0.5000], [0.9037, 0.4037, 0.5000], [0.7496, 0.7496, 0.0000], [0.2504, 0.2504, 0.0000], [0.0000, 0.0000, 0.0000]], "e_above_lowest_polymorph_mev_per_atom": 0.0, "m_tot_mub_per_atom": 0.001}

=====

Entry 13:
{"formula": "DyPaSi", "functional": "PBE-GGA", "state": "optimized geometry", "cell": [[-1.2283, 2.2812, 4.0292], [-1.9705, 4.3606, -0.2220], [-4.6239, 0.5976, 1.0996]], "species": ["Pa", "Si", "Dy"], "fractional_positions": [[0.7500, 0.7500, 0.7500], [0.0000, 0.0000, 0.0000], [0.2500, 0.2500, 0.2500]], "e_above_lowest_polymorph_mev_per_atom": 0.0, "m_tot_mub_per_atom": 0.339}

=====

Entry 14:
{"formula": "SmSnOs", "functional": "PBE-GGA", "state": "optimized geometry", "cell": [[0.0000, 3.3293, 3.3293], [3.3293, 0.0000, 3.3293], [3.3293, 3.3293, 0.0000]], "species": ["Sn", "Sm", "Os"], "fractional_positions": [[0.7500, 0.7500, 0.7500], [0.2500, 0.2500, 0.2500], [0.0000, 0.0000, 0.0000]], "final_energy_ev_per_atom": -6.711, "m_tot_mub_per_atom": 0.000}

=====

Entry 15:
{"formula": "ErTlSeO", "functional": "PBE-GGA", "state": "optimized geometry", "cell": [[4.4765, 0.0000, 0.0000], [0.0000, 8.1237, 0.0000], [0.0000, 0.0000, 6.5591]], "species": ["Tl", "Tl", "Er", "Er", "Se", "Se", "O", "O"], "fractional_positions": [[0.0000, 0.2933, 0.1136], [0.0000, 0.7067, 0.6136], [0.5000, 0.8736, 0.0362], [0.5000, 0.1264, 0.5362], [0.0000, 0.3114, 0.6162], [0.0000, 0.6886, 0.1162], [0.5000, 0.9215, 0.7250], [0.5000, 0.0785, 0.2250]], "e_above_lowest_polymorph_mev_per_atom": 248.3, "m_tot_mub_per_atom": 0.000}

=====

Entry 16:
{"formula": "Zn2W", "functional": "PBE-GGA", "state": "optimized geometry", "cell": [[-1.0986, -1.3591, 4.5840], [-4.5424, -1.4965, 1.0928], [-0.8474, -4.7229, 1.0218]], "species": ["W", "W", "Zn", "Zn", "Zn", "Zn"], "fractional_positions": [[0.0000, 0.0000, 0.0000], [0.2500, 0.2500, 0.2500], [0.6250, 0.6250, 0.6250], [0.1250, 0.6250, 0.6250], [0.6250, 0.1250, 0.6250], [0.6250, 0.6250, 0.1250]], "e_above_lowest_polymorph_mev_per_atom": 9.4, "m_tot_mub_per_atom": 0.000, "formation_energy_ev_per_atom": 0.152}

=====

Entry 17:
{"formula": "RbHfAuSe2S", "functional": "PBE-GGA", "state": "optimized geometry", "cell": [[-6.8865, 1.5808, -3.7632], [5.6819, -5.0906, 2.4262], [-5.0891, -1.5525, 8.6608]], "species": ["Au", "Au", "Se", "Se", "Se", "Se", "Rb", "Rb", "S", "S", "Hf", "Hf"], "fractional_positions": [[0.9519, 0.0481, 0.2500], [0.0481, 0.9519, 0.7500], [0.8785, 0.1215, 0.4742], [0.8785, 0.1215, 0.0258], [0.1215, 0.8785, 0.5258], [0.1215, 0.8785, 0.9742], [0.2473, 0.7527, 0.2500], [0.7527, 0.2473, 0.7500], [0.4434, 0.5566, 0.7500], [0.5566, 0.4434, 0.2500], [0.5000, 0.5000, 0.5000], [0.5000, 0.5000, 0.0000]], "final_energy_ev_per_atom": -5.225, "m_tot_mub_per_atom": 0.001}

=====

Entry 18:
{"formula": "Er2ReC2", "functional": "PBE-GGA", "state": "optimized geometry", "cell": [[6.5293, 0.0000, 0.0000], [0.0000, 5.0536, 0.0000], [0.0000, 0.0000, 9.7691]], "species": ["Er", "Er", "Er", "Er", "Er", "Er", "Er", "Er", "C", "C", "C", "C", "C", "C", "C", "C", "Re", "Re", "Re", "Re"], "fractional_positions": [[0.3215, 0.2500, 0.4431], [0.1785, 0.7500, 0.9431], [0.8215, 0.2500, 0.0569], [0.5337, 0.7500, 0.2167], [0.4663, 0.2500, 0.7833], [0.0337, 0.7500, 0.2833], [0.6785, 0.7500, 0.5569], [0.9663, 0.2500, 0.7167], [0.0485, 0.2500, 0.2590], [0.1748, 0.2500, 0.9470], [0.6748, 0.2500, 0.5530], [0.5485, 0.2500, 0.2410], [0.8252, 0.7500, 0.0530], [0.9515, 0.7500, 0.7410], [0.4515, 0.7500, 0.7590], [0.3252, 0.7500, 0.4470], [0.2184, 0.7500, 0.6318], [0.2816, 0.2500, 0.1318], [0.7816, 0.2500, 0.3682], [0.7184, 0.7500, 0.8682]], "final_energy_ev_per_atom": -8.438, "m_tot_mub_per_atom": 0.000}

=====

Entry 19:
{"formula": "PrLu2Bi3", "functional": "PBE-GGA", "state": "optimized geometry", "cell": [[4.4689, 0.0000, 0.0000], [-2.2344, 3.8702, 0.0000], [0.0000, 0.0000, 10.9623]], "species": ["Lu", "Lu", "Bi", "Bi", "Bi", "Pr"], "fractional_positions": [[0.6667, 0.3333, 0.1610], [0.3333, 0.6667, 0.8390], [0.6667, 0.3333, 0.6805], [0.0000, 0.0000, 0.0000], [0.3333, 0.6667, 0.3195], [0.0000, 0.0000, 0.5000]], "final_energy_ev_per_atom": -5.144, "m_tot_mub_per_atom": 0.000}

=====

Entry 20:
{"formula": "AlCoW2", "functional": "PBE-GGA", "state": "optimized geometry", "cell": [[1.9153, -1.3715, 3.6358], [-2.0154, 0.4418, 3.8094], [-1.5200, -3.4924, 2.0643]], "species": ["W", "W", "Co", "Al"], "fractional_positions": [[0.0000, 0.0000, 0.0000], [0.7500, 0.7500, 0.7500], [0.2500, 0.2500, 0.2500], [0.5000, 0.5000, 0.5000]], "final_energy_ev_per_atom": -9.128, "m_tot_mub_per_atom": 0.002}

=====

Mass density, respectively: 6.29; 8.88; 8.01; 6.96; 11.19; 9.69; 9.99; 7.68; 5.50; 4.27; 4.65; 8.04; 9.01; 10.33; 6.50; 12.52; 6.95; 11.22; 9.79; 13.10 g cm⁻³.